Record 1
Below is a relaxed Sr2Sc crystal, with properties calculated at the PBEsol level.

Unit cell a=3.7422 b=3.7422 c=34.3471 alpha=90.00 beta=90.00 gamma=90.00
Last column: nearest neighbours and their distance in Å.
Atoms (fractional coordinates):
Sr 0.0000 0.2500 0.3017  4 Sc 3.65, 6 Sr 3.74-4.01
Sr 0.0000 0.2500 0.4483  4 Sc 3.65, 6 Sr 3.74-4.01
Sr 0.0000 0.7500 0.5517  4 Sc 3.65, 6 Sr 3.74-4.01
Sr 0.0000 0.7500 0.6983  4 Sc 3.65, 6 Sr 3.74-4.01
Sr 0.5000 0.2500 0.0517  4 Sc 3.65, 6 Sr 3.74-4.01
Sr 0.5000 0.2500 0.1983  4 Sc 3.65, 6 Sr 3.74-4.01
Sr 0.5000 0.7500 0.8017  4 Sc 3.65, 6 Sr 3.74-4.01
Sr 0.5000 0.7500 0.9483  4 Sc 3.65, 6 Sr 3.74-4.01
Sc 0.0000 0.2500 0.8750  8 Sr 3.65, 4 Sc 3.74
Sc 0.0000 0.7500 0.1250  8 Sr 3.65, 4 Sc 3.74
Sc 0.5000 0.2500 0.6250  8 Sr 3.65, 4 Sc 3.74
Sc 0.5000 0.7500 0.3750  8 Sr 3.65, 4 Sc 3.74

Properties
* SG: I4_1/amd
* electronic total energy: -3.092 eV/atom

---

Record 2
Below is a relaxed CdSiMo2 crystal, with properties calculated at the PBEsol level.

Unit cell a=4.7093 b=4.7093 c=2.7676 alpha=90.00 beta=90.00 gamma=90.00
Last column: nearest neighbours and their distance in Å.
Atoms (fractional coordinates):
Cd 0.0000 0.0000 0.0000  8 Mo 2.73, 2 Cd 2.77
Si 0.5000 0.5000 0.0000  8 Mo 2.73, 2 Si 2.77
Mo 0.0000 0.5000 0.5000  4 Cd 2.73, 4 Si 2.73, 2 Mo 2.77
Mo 0.5000 0.0000 0.5000  4 Cd 2.73, 4 Si 2.73, 2 Mo 2.77

Properties
* SG: P4/mmm
* electronic total energy: -7.278 eV/atom

---

Record 3
Below is a relaxed CsTeSe2N crystal, with properties calculated at the PBEsol level.

Unit cell a=5.5446 b=5.5446 c=4.2927 alpha=90.00 beta=90.00 gamma=90.00
Last column: nearest neighbours and their distance in Å.
Atoms (fractional coordinates):
Cs 0.0000 0.0000 0.0000  8 Se 3.51, 4 N 3.92
Te 0.5000 0.5000 0.5000  2 N 2.15
Se 0.0000 0.5000 0.5000  2 Te 2.77
Se 0.5000 0.0000 0.5000  2 Te 2.77
N 0.5000 0.5000 0.0000  2 Te 2.15

Properties
* SG: P4/mmm
* electronic total energy: -3.800 eV/atom

---

Record 4
Below is a relaxed NiIr2Os crystal, with properties calculated at the PBEsol level.

Unit cell a=3.7366 b=3.7366 c=7.5730 alpha=90.00 beta=90.00 gamma=90.00
Last column: nearest neighbours and their distance in Å.
Atoms (fractional coordinates):
Ni 0.0000 0.0000 0.0000  4 Os 2.64, 8 Ir 2.66
Ni 0.5000 0.5000 0.5000  4 Os 2.64, 8 Ir 2.66
Ir 0.0000 0.5000 0.2500  4 Ir 2.64, 4 Ni 2.66, 4 Os 2.66
Ir 0.0000 0.5000 0.7500  4 Ir 2.64, 4 Ni 2.66, 4 Os 2.66
Ir 0.5000 0.0000 0.2500  4 Ir 2.64, 4 Ni 2.66, 4 Os 2.66
Ir 0.5000 0.0000 0.7500  4 Ir 2.64, 4 Ni 2.66, 4 Os 2.66
Os 0.0000 0.0000 0.5000  4 Ni 2.64, 8 Ir 2.66
Os 0.5000 0.5000 0.0000  4 Ni 2.64, 8 Ir 2.66

Properties
* SG: I4/mmm
* electronic total energy: -9.464 eV/atom

---

Record 5
Below is a relaxed ScMnW2 crystal, with properties calculated at the PBEsol level.

Unit cell a=2.8543 b=2.8543 c=26.3806 alpha=90.00 beta=90.00 gamma=120.00
Last column: nearest neighbours and their distance in Å.
Atoms (fractional coordinates):
Sc 0.0000 0.0000 0.0000  6 Sc 2.85, 6 W 2.95
Sc 0.3333 0.6667 0.6667  6 Sc 2.85, 6 W 2.95
Sc 0.6667 0.3333 0.3333  6 Sc 2.85, 6 W 2.95
Mn 0.0000 0.0000 0.5000  6 W 2.55, 6 Mn 2.85
Mn 0.3333 0.6667 0.1667  6 W 2.55, 6 Mn 2.85
Mn 0.6667 0.3333 0.8333  6 W 2.55, 6 Mn 2.85
W 0.0000 0.0000 0.2407  3 Mn 2.55, 6 W 2.85
W 0.0000 0.0000 0.7593  3 Mn 2.55, 6 W 2.85
W 0.3333 0.6667 0.4260  3 Mn 2.55, 6 W 2.85
W 0.3333 0.6667 0.9073  3 Mn 2.55, 6 W 2.85
W 0.6667 0.3333 0.0927  3 Mn 2.55, 6 W 2.85
W 0.6667 0.3333 0.5740  3 Mn 2.55, 6 W 2.85

Properties
* SG: R-3m
* electronic total energy: -10.556 eV/atom

---

Record 6
Below is a relaxed Cs3Rb crystal, with properties calculated at the PBEsol level.

Unit cell a=10.4936 b=10.4936 c=8.4789 alpha=90.00 beta=90.00 gamma=120.00
Last column: nearest neighbours and their distance in Å.
Atoms (fractional coordinates):
Cs 0.1685 0.3371 0.2500  8 Cs 5.19-5.31, 4 Rb 5.19-5.25
Cs 0.1685 0.8315 0.2500  8 Cs 5.19-5.31, 4 Rb 5.19-5.25
Cs 0.3371 0.1685 0.7500  8 Cs 5.19-5.31, 4 Rb 5.19-5.25
Cs 0.6629 0.8315 0.2500  8 Cs 5.19-5.31, 4 Rb 5.19-5.25
Cs 0.8315 0.1685 0.7500  8 Cs 5.19-5.31, 4 Rb 5.19-5.25
Cs 0.8315 0.6629 0.7500  8 Cs 5.19-5.31, 4 Rb 5.19-5.25
Rb 0.3333 0.6667 0.7500  12 Cs 5.19-5.25
Rb 0.6667 0.3333 0.2500  12 Cs 5.19-5.25

Properties
* SG: P6_3/mmc
* electronic total energy: -0.965 eV/atom

---

Record 7
Below is a relaxed Ag5Se crystal, with properties calculated at the PBEsol level.

Unit cell a=10.7311 b=2.8957 c=6.8795 alpha=90.00 beta=104.84 gamma=90.00
Last column: nearest neighbours and their distance in Å.
Atoms (fractional coordinates):
Ag 0.0000 0.0000 0.0000  3 Se 2.89-2.91, 9 Ag 2.89-2.94
Ag 0.0521 0.0000 0.6059  10 Ag 2.83-2.93, 2 Se 2.98
Ag 0.1656 0.5000 0.3357  11 Ag 2.86-2.93, 1 Se 2.88
Ag 0.3324 0.0000 0.6609  10 Ag 2.83-2.94, 2 Se 2.93
Ag 0.3927 0.0000 0.2832  10 Ag 2.83-2.93, 2 Se 2.91
Ag 0.5000 0.5000 0.0000  3 Se 2.89-2.91, 9 Ag 2.89-2.94
Ag 0.5521 0.5000 0.6059  10 Ag 2.83-2.93, 2 Se 2.98
Ag 0.6656 0.0000 0.3357  11 Ag 2.86-2.93, 1 Se 2.88
Ag 0.8324 0.5000 0.6609  10 Ag 2.83-2.94, 2 Se 2.93
Ag 0.8927 0.5000 0.2832  10 Ag 2.83-2.93, 2 Se 2.91
Se 0.2246 0.5000 0.9505  10 Ag 2.88-2.98, 2 Se 2.90
Se 0.7246 0.0000 0.9505  10 Ag 2.88-2.98, 2 Se 2.90

Properties
* SG: Cm
* electronic total energy: -3.352 eV/atom

---

Record 8
Below is a relaxed Cr2H24I3N9 crystal, with properties calculated at the PBEsol level.

Unit cell a=7.5314 b=7.5314 c=17.4476 alpha=90.00 beta=90.00 gamma=120.00
Last column: nearest neighbours and their distance in Å.
Atoms (fractional coordinates):
Cr 0.3333 0.6667 0.1720  6 N 2.02-2.09
Cr 0.3333 0.6667 0.3280  6 N 2.02-2.09
Cr 0.6667 0.3333 0.6720  6 N 2.02-2.09
Cr 0.6667 0.3333 0.8280  6 N 2.02-2.09
H 0.0126 0.3954 0.2500  1 N 1.03
H 0.0126 0.6173 0.2500  1 N 1.03
H 0.0485 0.3190 0.1116  1 N 1.03
H 0.0485 0.3190 0.3884  1 N 1.03
H 0.0485 0.7295 0.1116  1 N 1.03
H 0.0485 0.7295 0.3884  1 N 1.03
H 0.2232 0.4463 0.0438  1 N 1.04
H 0.2232 0.4463 0.4562  1 N 1.04
H 0.2232 0.7768 0.0438  1 N 1.04
H 0.2232 0.7768 0.4562  1 N 1.04
H 0.2705 0.3190 0.1116  1 N 1.03
H 0.2705 0.3190 0.3884  1 N 1.03
H 0.2705 0.9515 0.1116  1 N 1.03
H 0.2705 0.9515 0.3884  1 N 1.03
H 0.3190 0.0485 0.6116  1 N 1.03
H 0.3190 0.0485 0.8884  1 N 1.03
H 0.3190 0.2705 0.6116  1 N 1.03
H 0.3190 0.2705 0.8884  1 N 1.03
H 0.3827 0.3954 0.2500  1 N 1.03
H 0.3827 0.9874 0.2500  1 N 1.03
H 0.3954 0.0126 0.7500  1 N 1.03
H 0.3954 0.3827 0.7500  1 N 1.03
H 0.4463 0.2232 0.5438  1 N 1.04
H 0.4463 0.2232 0.9562  1 N 1.04
H 0.5537 0.7768 0.0438  1 N 1.04
H 0.5537 0.7768 0.4562  1 N 1.04
H 0.6046 0.6173 0.2500  1 N 1.03
H 0.6046 0.9874 0.2500  1 N 1.03
H 0.6173 0.0126 0.7500  1 N 1.03
H 0.6173 0.6046 0.7500  1 N 1.03
H 0.6810 0.7295 0.1116  1 N 1.03
H 0.6810 0.7295 0.3884  1 N 1.03
H 0.6810 0.9515 0.1116  1 N 1.03
H 0.6810 0.9515 0.3884  1 N 1.03
H 0.7295 0.0485 0.6116  1 N 1.03
H 0.7295 0.0485 0.8884  1 N 1.03
H 0.7295 0.6810 0.6116  1 N 1.03
H 0.7295 0.6810 0.8884  1 N 1.03
H 0.7768 0.2232 0.5438  1 N 1.04
H 0.7768 0.2232 0.9562  1 N 1.04
H 0.7768 0.5537 0.5438  1 N 1.04
H 0.7768 0.5537 0.9562  1 N 1.04
H 0.9515 0.2705 0.6116  1 N 1.03
H 0.9515 0.2705 0.8884  1 N 1.03
H 0.9515 0.6810 0.6116  1 N 1.03
H 0.9515 0.6810 0.8884  1 N 1.03
H 0.9874 0.3827 0.7500  1 N 1.03
H 0.9874 0.6046 0.7500  1 N 1.03
I 0.0000 0.0000 0.2500  6 H 2.93
I 0.0000 0.0000 0.7500  6 H 2.93
I 0.3333 0.6667 0.5889  9 H 2.72-2.96
I 0.3333 0.6667 0.9111  9 H 2.72-2.96
I 0.6667 0.3333 0.0889  9 H 2.72-2.96
I 0.6667 0.3333 0.4111  9 H 2.72-2.96
N 0.1051 0.5525 0.2500  2 H 1.03
N 0.2036 0.4072 0.1013  3 H 1.03-1.04
N 0.2036 0.4072 0.3987  3 H 1.03-1.04
N 0.2036 0.7964 0.1013  3 H 1.03-1.04
N 0.2036 0.7964 0.3987  3 H 1.03-1.04
N 0.4072 0.2036 0.6013  3 H 1.03-1.04
N 0.4072 0.2036 0.8987  3 H 1.03-1.04
N 0.4475 0.5525 0.2500  2 H 1.03
N 0.4475 0.8949 0.2500  2 H 1.03
N 0.5525 0.1051 0.7500  2 H 1.03
N 0.5525 0.4475 0.7500  2 H 1.03
N 0.5928 0.7964 0.1013  3 H 1.03-1.04
N 0.5928 0.7964 0.3987  3 H 1.03-1.04
N 0.7964 0.2036 0.6013  3 H 1.03-1.04
N 0.7964 0.2036 0.8987  3 H 1.03-1.04
N 0.7964 0.5928 0.6013  3 H 1.03-1.04
N 0.7964 0.5928 0.8987  3 H 1.03-1.04
N 0.8949 0.4475 0.7500  2 H 1.03

Properties
* SG: P6_3/mmc
* electronic total energy: -5.269 eV/atom

---

Record 9
Below is a relaxed Si3Pb crystal, with properties calculated at the PBEsol level.

Unit cell a=4.5779 b=4.5779 c=3.6471 alpha=90.00 beta=90.00 gamma=90.00
Last column: nearest neighbours and their distance in Å.
Atoms (fractional coordinates):
Si 0.0000 0.0000 0.0000  8 Si 2.93, 4 Pb 3.24
Si 0.0000 0.5000 0.5000  4 Pb 2.93, 8 Si 2.93-3.24
Si 0.5000 0.0000 0.5000  4 Pb 2.93, 8 Si 2.93-3.24
Pb 0.5000 0.5000 0.0000  12 Si 2.93-3.24

Properties
* SG: P4/mmm
* electronic total energy: -4.656 eV/atom

---

Record 10
Below is a relaxed Cu2AsPt crystal, with properties calculated at the PBEsol level.

Unit cell a=2.8951 b=3.6376 c=5.1552 alpha=90.00 beta=90.00 gamma=90.00
Last column: nearest neighbours and their distance in Å.
Atoms (fractional coordinates):
Cu 0.0000 0.0000 0.2489  2 Cu 2.57-2.59, 4 As 2.66, 4 Pt 2.66
Cu 0.0000 0.0000 0.7511  2 Cu 2.57-2.59, 4 As 2.66, 4 Pt 2.66
As 0.5000 0.5000 0.0000  2 Pt 2.58, 8 Cu 2.66
Pt 0.5000 0.5000 0.5000  2 As 2.58, 8 Cu 2.66

Properties
* SG: Pmmm
* electronic total energy: -5.222 eV/atom